Entry 1:
Entry from the Alexandria database: a geometry-optimized Mg2SiS structure (PBE).

Lattice parameters (Å, degrees): 6.639 6.639 6.639 90.00 90.00 90.00
Space group Fm-3m (No. 225)
Unique sites:
Mg: 0.250 0.250 0.250 [8 per cell]
Si: 0.000 0.000 0.000 [4 per cell]
S: 0.000 0.000 0.500 [4 per cell]

The value obtained for the uncorrected formation energy is -16 meV per atom. The value obtained for the total energy is -0.2353 Ry/atom. As for the density of states at the Fermi level: 3.3 states/eV/f.u.

Entry 2:
Entry from the Alexandria database: a geometry-optimized MgSiS3 structure (PBE).

Lattice parameters (Å, degrees): 4.539 4.539 4.539 90.00 90.00 90.00
Space group Pm-3m (No. 221)
Unique sites:
Mg: 0.000 0.000 0.000 [1 per cell]
Si: 0.500 0.500 0.500 [1 per cell]
S: 0.000 0.500 0.500 [3 per cell]

The value obtained for the uncorrected formation energy is -167 meV per atom. The value obtained for the total energy is -0.2975 Ry/atom. As for the density of states at the Fermi level: 1.8 states/eV/f.u.

Entry 3:
Entry from the Alexandria database: a geometry-optimized MgSiS3 structure (PBE).

Lattice parameters (Å, degrees): 6.069 3.542 11.164 90.00 93.43 90.00
Space group P2_1/m (No. 11)
Unique sites:
Mg: 0.099 0.250 0.157 [2 per cell]
Si: 0.334 0.250 0.753 [2 per cell]
S: 0.184 0.250 0.920 [2 per cell]
S: 0.186 0.750 0.656 [2 per cell]
S: 0.326 0.750 0.261 [2 per cell]

The value obtained for the uncorrected formation energy is -904 meV per atom. The value obtained for the total energy is -0.3516 Ry/atom. As for the density of states at the Fermi level: 0.0 states/eV/f.u.